A geometry-optimized Pr8Er2Tm structure, computed with PBE.

Results
Distance to the lowest polymorph of the same formula ... 0 kJ/mol of formula units
Energy of formation from the pure elements ... 111 meV/atom
Uncorrected energy ... -50.607 eV/cell
Magnetization ... 0.000 μB per cell

The structure in extended XYZ format:
```
11
Lattice="-3.696 -3.335 2.841 4.051 -6.765 -2.671 4.597 5.328 6.453" Properties=species:S:1:pos:R:3 pbc="T T T"
Pr 2.303 -6.353 1.320
Pr 4.301 -1.177 4.214
Pr 1.552 0.090 2.125
Pr 2.088 0.012 8.512
Pr 3.400 -4.862 4.498
Pr 0.652 -3.595 2.409
Pr 2.649 1.581 5.303
Pr 2.865 -4.784 -1.889
Er 3.946 -3.270 1.295
Er 1.006 -1.501 5.328
Tm -1.848 -1.667 1.420
```